Entry 1:
Entry from Alexandria: an optimized crystal structure of ZrPaAg (PBE-GGA).

abc: 5.006 5.006 6.302
angles: 90.00 90.00 120.00
Fractional coordinates of all 6 atoms:
Zr (0.000, 0.000, 0.237)
Zr (0.000, 0.000, 0.763)
Pa (0.333, 0.667, 0.002)
Pa (0.667, 0.333, 0.998)
Ag (0.333, 0.667, 0.503)
Ag (0.667, 0.333, 0.497)

symmetry	No. 164
ΔE to the lowest computed polymorph	239	meV per atom
N(E_F)	1.4478	states/eV/atom
energy of formation	0.21	eV/atom
crystal system	trigonal

***

Entry 2:
Entry from Alexandria: an optimized crystal structure of Pd2RhO6 (PBE-GGA).

abc: 4.591 4.591 9.557
angles: 90.00 90.00 90.00
Fractional coordinates of all 18 atoms:
Pd (0.000, 0.000, 0.167)
Pd (0.000, 0.000, 0.833)
Pd (0.500, 0.500, 0.333)
Pd (0.500, 0.500, 0.667)
Rh (0.000, 0.000, 0.500)
Rh (0.500, 0.500, 0.000)
O (0.191, 0.191, 0.335)
O (0.191, 0.191, 0.665)
O (0.197, 0.197, 0.000)
O (0.303, 0.697, 0.500)
O (0.309, 0.691, 0.165)
O (0.309, 0.691, 0.835)
O (0.691, 0.309, 0.165)
O (0.691, 0.309, 0.835)
O (0.697, 0.303, 0.500)
O (0.803, 0.803, 0.000)
O (0.809, 0.809, 0.335)
O (0.809, 0.809, 0.665)

symmetry	No. 136
N(E_F)	0.6847	states/eV/atom
crystal system	tetragonal
E_form (uncorrected)	-0.416	eV/atom

***

Entry 3:
Entry from Alexandria: an optimized crystal structure of La3CoPt (PBE-GGA).

abc: 7.381 7.238 11.157
angles: 90.00 117.53 90.00
Fractional coordinates of all 20 atoms:
La (0.089, 0.182, 0.244)
La (0.089, 0.318, 0.744)
La (0.295, 0.522, 0.076)
La (0.295, 0.978, 0.576)
La (0.331, 0.004, 0.057)
La (0.331, 0.496, 0.557)
La (0.669, 0.504, 0.443)
La (0.669, 0.996, 0.943)
La (0.705, 0.022, 0.424)
La (0.705, 0.478, 0.924)
La (0.911, 0.682, 0.256)
La (0.911, 0.818, 0.756)
Co (0.003, 0.198, 0.950)
Co (0.003, 0.302, 0.450)
Co (0.997, 0.698, 0.550)
Co (0.997, 0.802, 0.050)
Pt (0.328, 0.700, 0.819)
Pt (0.328, 0.800, 0.319)
Pt (0.672, 0.200, 0.681)
Pt (0.672, 0.300, 0.181)

symmetry	No. 14
ΔE to the lowest computed polymorph	0	meV per atom
N(E_F)	0.8150	states/eV/atom
energy of formation	-0.53	eV/atom
crystal system	monoclinic

***

Entry 4:
Entry from Alexandria: an optimized crystal structure of Mg2Sn5Pd12 (PBE-GGA).

abc: 8.108 8.108 9.003
angles: 106.77 106.77 40.47
Fractional coordinates of all 19 atoms:
Mg (0.242, 0.758, 0.000)
Mg (0.758, 0.242, 0.000)
Sn (0.000, 0.000, 0.500)
Sn (0.318, 0.318, 0.652)
Sn (0.347, 0.347, 0.152)
Sn (0.653, 0.653, 0.848)
Sn (0.682, 0.682, 0.348)
Pd (0.056, 0.570, 0.898)
Pd (0.092, 0.589, 0.405)
Pd (0.097, 0.097, 0.289)
Pd (0.411, 0.908, 0.595)
Pd (0.430, 0.944, 0.102)
Pd (0.490, 0.490, 0.650)
Pd (0.510, 0.510, 0.350)
Pd (0.570, 0.056, 0.898)
Pd (0.589, 0.092, 0.405)
Pd (0.903, 0.903, 0.711)
Pd (0.908, 0.411, 0.595)
Pd (0.944, 0.430, 0.102)

symmetry	No. 12
N(E_F)	0.2630	states/eV/atom
energy of formation	-0.39	eV/atom
crystal system	monoclinic

***

Entry 5:
Entry from Alexandria: an optimized crystal structure of Be2SbPt (PBE-GGA).

abc: 3.856 3.856 5.195
angles: 90.00 90.00 120.00
Fractional coordinates of all 4 atoms:
Be (0.000, 0.000, 0.000)
Be (0.333, 0.667, 0.903)
Sb (0.000, 0.000, 0.488)
Pt (0.667, 0.333, 0.802)

symmetry	No. 156
N(E_F)	0.3150	states/eV/atom
crystal system	trigonal
E_form (uncorrected)	-0.234	eV/atom

***

Entry 6:
Entry from Alexandria: an optimized crystal structure of Na2AlCuF6 (PBE-GGA).

abc: 5.660 5.660 5.660
angles: 60.00 60.00 60.00
Fractional coordinates of all 10 atoms:
Na (0.250, 0.250, 0.250)
Na (0.750, 0.750, 0.750)
Al (0.000, 0.000, 0.000)
Cu (0.500, 0.500, 0.500)
F (0.227, 0.227, 0.773)
F (0.227, 0.773, 0.227)
F (0.227, 0.773, 0.773)
F (0.773, 0.227, 0.227)
F (0.773, 0.227, 0.773)
F (0.773, 0.773, 0.227)

symmetry	No. 225
ΔE to the lowest computed polymorph	86	meV per atom
N(E_F)	0.5507	states/eV/atom
crystal system	cubic
E_form (uncorrected)	-2.647	eV/atom